# 1
Entry from the Alexandria database: a crystal of La2MoCl relaxed with PBEsol (SCAN).

- E_form (uncorrected) (eV/atom) = 0.142
- total magnetic moment (μB per cell) = 0.00
- total energy (Ry per atom) = -2.36121

a = 3.4660 Å, b = 5.6153 Å, c = 9.8212 Å
α = 90.00°, β = 90.00°, γ = 90.00°
Space group Cmm2 (No. 35)
Asymmetric unit:
La  0.0000  0.0000  0.0000 [2 per cell]
La  0.0000  0.5000  0.3398 [2 per cell]
Mo  0.0000  0.0000  0.5446 [2 per cell]
Cl  0.0000  0.5000  0.7606 [2 per cell]

***

# 2
Entry from the Alexandria database: a crystal of LaMoCl2 relaxed with PBEsol (SCAN).

- E_form (uncorrected) (eV/atom) = -0.424
- total magnetic moment (μB per cell) = 13.53
- E above lowest polymorph (meV/atom) = 331
- total energy (Ry per atom) = -1.75738

a = 6.8224 Å, b = 6.8224 Å, c = 6.8224 Å
α = 90.00°, β = 90.00°, γ = 90.00°
Space group Fm-3m (No. 225)
Asymmetric unit:
La  0.0000  0.0000  0.0000 [4 per cell]
Mo  0.0000  0.0000  0.5000 [4 per cell]
Cl  0.2500  0.2500  0.2500 [8 per cell]

***

# 3
Entry from the Alexandria database: a crystal of LaMo2Cl relaxed with PBEsol (SCAN).

- E_form (uncorrected) (eV/atom) = 0.239
- total magnetic moment (μB per cell) = 0.00
- E above lowest polymorph (meV/atom) = 0
- total energy (Ry per atom) = -2.20305

a = 5.3765 Å, b = 11.1660 Å, c = 3.2771 Å
α = 90.00°, β = 127.14°, γ = 90.00°
Space group C2/m (No. 12)
Asymmetric unit:
La  0.0000  0.0000  0.0000 [2 per cell]
Mo  0.2500  0.2500  0.0000 [4 per cell]
Cl  0.0000  0.5000  0.0000 [2 per cell]